Entry 1:
# PBE Ti6Pt12Au, relaxed
# - Calculated total energy: -7.215 eV/atom
# - ΔH_f (0 K): -0.734 eV per atom
# - Crystal system: trigonal
data_Ti6Pt12Au
_chemical_formula_sum 'Ti18 Pt36 Au3'
_space_group_name_H-M_alt 'R -3'
_space_group_IT_number 148
_space_group_name_Hall '-R 3'
_cell_length_a 11.5854
_cell_length_b 11.5854
_cell_length_c 8.1452
_cell_angle_alpha 90.00
_cell_angle_beta 90.00
_cell_angle_gamma 120.00
loop_
_atom_site_label
_atom_site_type_symbol
_atom_site_fract_x
_atom_site_fract_y
_atom_site_fract_z
Ti1 Ti 0.0434 0.2083 0.2504
Pt1 Pt 0.0347 0.2439 0.5706
Pt2 Pt 0.0643 0.2322 0.9254
Au1 Au 0.0000 0.0000 0.5000

=====

Entry 2:
# PBE TiPtAu, relaxed
# - Calculated total energy: -6.245 eV/atom
# - ΔH_f (0 K): -0.507 eV per atom
# - E above lowest polymorph: 201 meV/atom
# - Crystal system: trigonal
data_TiPtAu
_chemical_formula_sum 'Ti1 Pt1 Au1'
_space_group_name_H-M_alt 'P 3 m 1'
_space_group_IT_number 156
_space_group_name_Hall 'P 3 -2"'
_cell_length_a 4.4926
_cell_length_b 4.4926
_cell_length_c 2.8279
_cell_angle_alpha 90.00
_cell_angle_beta 90.00
_cell_angle_gamma 120.00
loop_
_atom_site_label
_atom_site_type_symbol
_atom_site_fract_x
_atom_site_fract_y
_atom_site_fract_z
Ti1 Ti 0.0000 0.0000 0.0000
Pt1 Pt 0.3333 0.6667 0.1780
Au1 Au 0.6667 0.3333 0.6019

=====

Entry 3:
# PBE Ti3Pt4Au, relaxed
# - Calculated total energy: -7.162 eV/atom
# - ΔH_f (0 K): -0.771 eV per atom
# - Crystal system: orthorhombic
data_Ti3Pt4Au
_chemical_formula_sum 'Ti6 Pt8 Au2'
_space_group_name_H-M_alt 'P m m a'
_space_group_IT_number 51
_space_group_name_Hall '-P 2a 2a'
_cell_length_a 9.264
_cell_length_b 5.640
_cell_length_c 4.855
_cell_angle_alpha 90.00
_cell_angle_beta 90.00
_cell_angle_gamma 90.00
loop_
_atom_site_label
_atom_site_type_symbol
_atom_site_fract_x
_atom_site_fract_y
_atom_site_fract_z
Ti1 Ti 0.000 0.000 0.000
Ti2 Ti 0.250 0.000 0.379
Ti3 Ti 0.250 0.500 0.355
Pt1 Pt 0.000 0.246 0.500
Pt2 Pt 0.250 0.245 0.865
Au1 Au 0.000 0.500 0.000

=====

Entry 4:
# PBE Ti2Pt2Au, relaxed
# - Calculated total energy: -6.858 eV/atom
# - ΔH_f (0 K): -0.628 eV per atom
# - E above lowest polymorph: 131 meV/atom
# - Crystal system: tetragonal
data_Ti2Pt2Au
_chemical_formula_sum 'Ti4 Pt4 Au2'
_space_group_name_H-M_alt 'P 4/m b m'
_space_group_IT_number 127
_space_group_name_Hall '-P 4 2ab'
_cell_length_a 7.768
_cell_length_b 7.768
_cell_length_c 2.806
_cell_angle_alpha 90.00
_cell_angle_beta 90.00
_cell_angle_gamma 90.00
loop_
_atom_site_label
_atom_site_type_symbol
_atom_site_fract_x
_atom_site_fract_y
_atom_site_fract_z
Ti1 Ti 0.156 0.344 0.000
Pt1 Pt 0.136 0.636 0.500
Au1 Au 0.000 0.000 0.000

=====

Entry 5:
# PBE Ti2Pt2Au, relaxed
# - Calculated total energy: -6.748 eV/atom
# - ΔH_f (0 K): -0.518 eV per atom
# - E above lowest polymorph: 241 meV/atom
# - Crystal system: tetragonal
data_Ti2Pt2Au
_chemical_formula_sum 'Ti4 Pt4 Au2'
_space_group_name_H-M_alt 'I 4/m m m'
_space_group_IT_number 139
_space_group_name_Hall '-I 4 2'
_cell_length_a 4.284
_cell_length_b 4.284
_cell_length_c 10.229
_cell_angle_alpha 90.00
_cell_angle_beta 90.00
_cell_angle_gamma 90.00
loop_
_atom_site_label
_atom_site_type_symbol
_atom_site_fract_x
_atom_site_fract_y
_atom_site_fract_z
Ti1 Ti 0.000 0.500 0.250
Pt1 Pt 0.000 0.000 0.124
Au1 Au 0.000 0.000 0.500

=====

Entry 6:
# PBE Ti3PtAu, relaxed
# - Calculated total energy: -6.310 eV/atom
# - ΔH_f (0 K): 0.290 eV per atom
# - E above lowest polymorph: 0 meV/atom
# - Crystal system: cubic
data_Ti3PtAu
_chemical_formula_sum 'Ti3 Pt1 Au1'
_space_group_name_H-M_alt 'P m -3 m'
_space_group_IT_number 221
_space_group_name_Hall '-P 4 2 3'
_cell_length_a 4.777
_cell_length_b 4.777
_cell_length_c 4.777
_cell_angle_alpha 90.00
_cell_angle_beta 90.00
_cell_angle_gamma 90.00
loop_
_atom_site_label
_atom_site_type_symbol
_atom_site_fract_x
_atom_site_fract_y
_atom_site_fract_z
Ti1 Ti 0.000 0.000 0.500
Pt1 Pt 0.000 0.000 0.000
Au1 Au 0.500 0.500 0.500

=====

Entry 7:
# PBE TiPt2Au, relaxed
# - Calculated total energy: -6.391 eV/atom
# - ΔH_f (0 K): -0.578 eV per atom
# - Crystal system: tetragonal
data_TiPt2Au
_chemical_formula_sum 'Ti2 Pt4 Au2'
_space_group_name_H-M_alt 'I 4/m m m'
_space_group_IT_number 139
_space_group_name_Hall '-I 4 2'
_cell_length_a 4.786
_cell_length_b 4.786
_cell_length_c 5.693
_cell_angle_alpha 90.00
_cell_angle_beta 90.00
_cell_angle_gamma 90.00
loop_
_atom_site_label
_atom_site_type_symbol
_atom_site_fract_x
_atom_site_fract_y
_atom_site_fract_z
Ti1 Ti 0.000 0.000 0.000
Pt1 Pt 0.000 0.500 0.250
Au1 Au 0.000 0.000 0.500

=====

Entry 8:
# PBE TiPtAu, relaxed
# - Calculated total energy: -6.364 eV/atom
# - ΔH_f (0 K): -0.627 eV per atom
# - E above lowest polymorph: 81 meV/atom
# - Crystal system: monoclinic
data_TiPtAu
_chemical_formula_sum 'Ti2 Pt2 Au2'
_space_group_name_H-M_alt 'P 1 21/m 1'
_space_group_IT_number 11
_space_group_name_Hall '-P 2yb'
_cell_length_a 3.654
_cell_length_b 4.265
_cell_length_c 6.618
_cell_angle_alpha 90.00
_cell_angle_beta 106.00
_cell_angle_gamma 90.00
loop_
_atom_site_label
_atom_site_type_symbol
_atom_site_fract_x
_atom_site_fract_y
_atom_site_fract_z
Ti1 Ti 0.106 0.250 0.211
Pt1 Pt 0.245 0.750 0.490
Au1 Au 0.430 0.250 0.862